Record 1
First-principles (PBE-GGA) data for a geometry-optimized LiTbMgPt structure, as listed in the Alexandria database.

Structure (CIF):
```
data_LiTbMgPt
_cell_length_a 6.7749
_cell_length_b 6.7749
_cell_length_c 6.7749
_cell_angle_alpha 90.00
_cell_angle_beta 90.00
_cell_angle_gamma 90.00
_symmetry_space_group_name_H-M 'F -4 3 m'
_symmetry_Int_Tables_number 216
_symmetry_space_group_name_Hall 'F -4 2 3'
loop_
_atom_site_label
_atom_site_type_symbol
_atom_site_fract_x
_atom_site_fract_y
_atom_site_fract_z
Li1 Li 0.0000 0.0000 0.0000
Tb1 Tb 0.2500 0.2500 0.7500
Mg1 Mg 0.2500 0.2500 0.2500
Pt1 Pt 0.0000 0.0000 0.5000
```

Values from the calculation:
- V: 19.435 A^3/atom
- Energy of formation from the pure elements: -2.62 eV per formula unit
- DOS at the Fermi energy: 3.052 states/eV/f.u.


Record 2
First-principles (PBE-GGA) data for a geometry-optimized Ag12As5Br3 structure, as listed in the Alexandria database.

Structure (CIF):
```
data_Ag12As5Br3
_cell_length_a 15.8413
_cell_length_b 15.8413
_cell_length_c 15.8413
_cell_angle_alpha 90.00
_cell_angle_beta 90.00
_cell_angle_gamma 90.00
_symmetry_space_group_name_H-M 'I a -3 d'
_symmetry_Int_Tables_number 230
_symmetry_space_group_name_Hall '-I 4bd 2c 3'
loop_
_atom_site_label
_atom_site_type_symbol
_atom_site_fract_x
_atom_site_fract_y
_atom_site_fract_z
Ag1 Ag 0.0371 0.0765 0.6402
As1 As 0.0000 0.0000 0.0000
As2 As 0.0000 0.2500 0.3750
Br1 Br 0.0000 0.2500 0.1250
```

Values from the calculation:
- ΔE_f (raw): 0.226 eV/atom
- V: 24.846 A^3/atom
- DOS at the Fermi energy: 8.521 states/eV/f.u.


Question: Which formula does entry 2 have?
Answer: Ag12As5Br3


Question: Among the records above, which one has the lowest V?
Answer: LiTbMgPt